KTiSb2: single point on PBEsol structure, meta-GGA SCAN.

```
KTiSb2
1.0
-3.172 3.172 8.195
3.172 -3.172 8.195
3.172 3.172 -8.195
K Ti Sb
2 2 4
Cartesian
3.172 1.586 2.049
0.000 1.586 6.146
3.172 -1.586 6.146
0.000 4.757 2.049
0.000 0.000 0.000
1.586 1.586 -4.098
1.586 -1.586 4.098
0.000 3.172 0.000
```

- Formation energy (no corrections): -0.1740 eV per atom
- Electronic total energy: -24.894 eV per atom
- DOS(E_F): 3.380 states/eV per cell
- Total magnetization: 0.0 μB/cell
- Space-group type: I4_1/amd, No. 141